No. 1
Entry from OQMD: Hf4InCuN2 after structural relaxation (GGA-PBE).

Cell lengths 3.2306, 3.2306, 14.0842 Å; angles 90.00, 90.00, 120.00 degrees
Last column: nearest neighbours and their distance in Å.
Space group P-6m2 (No. 187)
Inequivalent atoms, fractional coordinates:
Hf 0.0000 0.0000 0.1478  3 N 2.25
Hf 0.6667 0.3333 0.3256  3 N 2.25
In 0.0000 0.0000 0.5000  6 Hf 3.08, 6 In 3.23
Cu 0.6667 0.3333 0.0000  6 Hf 2.80
N 0.3333 0.6667 0.2368  6 Hf 2.25

Computed properties:
* calculated total energy: -70.5 eV/cell
* crystal system: hexagonal



No. 2
Entry from OQMD: Hf2In2Cu3Ni after structural relaxation (GGA-PBE).

Cell lengths 4.3750, 4.3750, 7.9494 Å; angles 90.00, 90.00, 120.00 degrees
Last column: nearest neighbours and their distance in Å.
Space group P3m1 (No. 156)
Inequivalent atoms, fractional coordinates:
Hf 0.0000 0.0000 0.0000  1 Ni 2.66, 7 Cu 2.80-2.81
Hf 0.3333 0.6667 0.5081  5 Cu 2.70-2.81, 3 Ni 2.82
In 0.6667 0.3333 0.2489  6 Cu 2.63-2.66
In 0.6667 0.3333 0.7472  3 Ni 2.61, 3 Cu 2.65
Cu 0.0000 0.0000 0.3525  1 Ni 2.49, 3 In 2.66
Cu 0.3333 0.6667 0.1556  1 Cu 2.44, 3 In 2.63
Cu 0.3333 0.6667 0.8482  1 Cu 2.44, 3 In 2.65, 1 Hf 2.70
Ni 0.0000 0.0000 0.6655  1 Cu 2.49, 3 In 2.61, 1 Hf 2.66

Computed properties:
* calculated total energy: -43.9 eV/cell
* crystal system: trigonal



No. 3
Entry from OQMD: Hf2In2CuNi3 after structural relaxation (GGA-PBE).

Cell lengths 4.3188, 4.3188, 7.9895 Å; angles 90.00, 90.00, 120.00 degrees
Last column: nearest neighbours and their distance in Å.
Space group P3m1 (No. 156)
Inequivalent atoms, fractional coordinates:
Hf 0.0000 0.0000 0.0000  5 Ni 2.68-2.76, 3 Cu 2.81
Hf 0.3333 0.6667 0.4875  7 Ni 2.71-2.83, 1 Cu 2.79
In 0.6667 0.3333 0.2433  6 Ni 2.60-2.61
In 0.6667 0.3333 0.7324  3 Ni 2.57, 3 Cu 2.63
Cu 0.3333 0.6667 0.8369  1 Ni 2.48, 3 In 2.63
Ni 0.0000 0.0000 0.3356  1 Ni 2.54, 3 In 2.60, 4 Hf 2.68-2.77
Ni 0.0000 0.0000 0.6540  1 Ni 2.54, 3 In 2.57, 4 Hf 2.76-2.83
Ni 0.3333 0.6667 0.1477  1 Cu 2.48, 3 In 2.61, 4 Hf 2.71-2.76

Computed properties:
* calculated total energy: -48.5 eV/cell
* crystal system: trigonal



Number 1 is which compound? Hf4InCuN2



Which formula does entry 2 have? Hf2In2Cu3Ni



Which of these has the lowest calculated total energy? Hf4InCuN2